# NaDyPO

A relaxed NaDyPO crystal (PBE, OQMD).

abc: 3.9360 3.9360 4.8871
angles: 90.00 90.00 90.00
Closest atoms and distances in Å follow each position.
Element x y z (fractional)
Na1 0.0000 0.0000 0.0000  2 P 2.44
Dy1 0.5000 0.5000 0.5000  2 O 2.44
P1 0.0000 0.0000 0.5000  2 Na 2.44
O1 0.5000 0.5000 0.0000  2 Dy 2.44

Computed properties:
For the energy above the most stable polymorph in this dataset, the calculation gives 399 meV per atom.